No. 1
Here is crystalline ScBeCo2Sb at its relaxed geometry from Alexandria. Energies are from PBEsol.

* formation energy from raw total energies: 217 meV per atom

Unit cell a=4.0365 b=4.0365 c=4.4201 alpha=90.00 beta=90.00 gamma=90.00
Closest atoms and distances in Å follow each position.
Atoms (fractional coordinates):
Sc 0.0000 0.0000 0.0000  4 Sb 2.85, 8 Co 2.99
Be 0.5000 0.5000 0.5000  4 Co 2.02, 2 Sb 2.21
Co 0.0000 0.5000 0.5000  2 Be 2.02
Co 0.5000 0.0000 0.5000  2 Be 2.02
Sb 0.5000 0.5000 0.0000  2 Be 2.21

***

No. 2
Here is crystalline Sc2BeCo at its relaxed geometry from Alexandria. Energies are from PBEsol.

* E_form: -0.188 eV per atom

Unit cell a=4.3726 b=4.3726 c=3.1312 alpha=90.00 beta=90.00 gamma=90.00
Closest atoms and distances in Å follow each position.
Atoms (fractional coordinates):
Sc 0.0000 0.5000 0.0000  4 Co 2.69, 4 Be 2.69
Sc 0.5000 0.0000 0.0000  4 Co 2.69, 4 Be 2.69
Be 0.0000 0.0000 0.5000  8 Sc 2.69
Co 0.5000 0.5000 0.5000  8 Sc 2.69

***

No. 3
Here is crystalline Sc2BeCo at its relaxed geometry from Alexandria. Energies are from PBEsol.

* E_form: -0.197 eV per atom

Unit cell a=3.7374 b=5.1925 c=5.1925 alpha=39.07 beta=90.00 gamma=90.00
Closest atoms and distances in Å follow each position.
Atoms (fractional coordinates):
Sc 0.0000 0.0000 0.0000  3 Be 2.63-2.92, 4 Co 2.68
Sc 0.5000 0.2828 0.2828  2 Co 2.62, 4 Be 2.67
Be 0.0000 0.7018 0.7018  2 Co 2.20
Co 0.5000 0.5825 0.5825  2 Be 2.20

***

No. 4
Here is crystalline ScBe3Co at its relaxed geometry from Alexandria. Energies are from PBEsol.

* E_form: -0.022 eV per atom

Unit cell a=3.9313 b=3.9313 c=3.9313 alpha=90.00 beta=90.00 gamma=90.00
Closest atoms and distances in Å follow each position.
Atoms (fractional coordinates):
Sc 0.0000 0.0000 0.0000  12 Be 2.78
Be 0.0000 0.5000 0.5000  2 Co 1.97
Be 0.5000 0.0000 0.5000  2 Co 1.97
Be 0.5000 0.5000 0.0000  2 Co 1.97
Co 0.5000 0.5000 0.5000  6 Be 1.97

***

No. 5
Here is crystalline Sc2BeCo at its relaxed geometry from Alexandria. Energies are from PBEsol.

* E_form: 0.182 eV per atom

Unit cell a=7.8221 b=7.8221 c=7.8221 alpha=23.12 beta=23.12 gamma=23.12
Closest atoms and distances in Å follow each position.
Atoms (fractional coordinates):
Sc 0.2447 0.2447 0.2447  3 Co 2.54, 3 Be 2.71
Sc 0.7553 0.7553 0.7553  3 Co 2.54, 3 Be 2.71
Be 0.0000 0.0000 0.0000  6 Sc 2.71
Co 0.5000 0.5000 0.5000  6 Sc 2.54

***

No. 6
Here is crystalline ScBeCo2 at its relaxed geometry from Alexandria. Energies are from PBEsol.

* E_form: -0.037 eV per atom

Unit cell a=4.4950 b=4.4950 c=4.4950 alpha=141.12 beta=122.63 gamma=71.48
Closest atoms and distances in Å follow each position.
Atoms (fractional coordinates):
Sc 0.0000 0.0000 0.0000  8 Co 2.52-2.70, 4 Be 2.63
Be 0.5000 0.5000 0.0000  4 Co 2.21
Co 0.2776 0.7776 0.5000  2 Be 2.21
Co 0.7224 0.2224 0.5000  2 Be 2.21